1.
Dy6AlNi2 | PBE-GGA | relaxed

Cell and atoms, written as POSCAR:
```
Dy6AlNi2
1.0
-4.619 4.793 5.029
4.619 -4.793 5.029
4.619 4.793 -5.029
Dy Al Ni
12 2 4
Direct
0.040 0.236 0.804 Dy
0.182 0.286 0.468 Dy
0.182 0.714 0.896 Dy
0.325 0.017 0.692 Dy
0.325 0.633 0.308 Dy
0.432 0.236 0.196 Dy
0.568 0.764 0.804 Dy
0.675 0.367 0.692 Dy
0.675 0.983 0.308 Dy
0.818 0.286 0.104 Dy
0.818 0.714 0.532 Dy
0.960 0.764 0.196 Dy
0.000 0.000 0.000 Al
0.500 0.500 0.000 Al
0.121 0.621 0.500 Ni
0.343 0.000 0.343 Ni
0.657 0.000 0.657 Ni
0.879 0.379 0.500 Ni
```

## Properties
symmetry: Immm
D(E_F): 17.8 states/eV per cell



2.
Dy4Al16Ni3 | PBE-GGA | relaxed

Cell and atoms, written as POSCAR:
```
Dy4Al16Ni3
1.0
6.057 0.000 0.000
0.000 6.057 0.000
0.000 0.000 11.089
Dy Al Ni
4 16 3
Direct
0.000 0.500 0.191 Dy
0.000 0.500 0.809 Dy
0.500 0.000 0.191 Dy
0.500 0.000 0.809 Dy
0.000 0.000 0.197 Al
0.000 0.000 0.803 Al
0.221 0.221 0.000 Al
0.221 0.779 0.000 Al
0.246 0.246 0.381 Al
0.246 0.246 0.619 Al
0.246 0.754 0.381 Al
0.246 0.754 0.619 Al
0.500 0.500 0.220 Al
0.500 0.500 0.780 Al
0.754 0.246 0.381 Al
0.754 0.246 0.619 Al
0.754 0.754 0.381 Al
0.754 0.754 0.619 Al
0.779 0.221 0.000 Al
0.779 0.779 0.000 Al
0.000 0.500 0.500 Ni
0.500 0.000 0.500 Ni
0.500 0.500 0.000 Ni
```

## Properties
symmetry: P4/mmm
D(E_F): 7.4 states/eV per cell



Energy, record by record: -91.596; -106.767 eV for the cell shown
Energy of formation, record by record: -0.320; -0.484 eV per atom